Below is a geometry-optimized CdFe2Cu structure, with properties calculated at the PBE level.

The structure in POSCAR format:
```
CdFe2Cu
1.0
3.102 0.000 0.000
0.000 3.102 0.000
0.000 0.000 5.893
Fe Cd Cu
2 1 1
direct
0.000 0.000 0.954 Fe
0.000 0.000 0.546 Fe
0.500 0.500 0.250 Cd
0.500 0.500 0.750 Cu
```

## Properties
energy = -20.63 eV/f.u.
DFT formation energy = 0.33 eV/atom
symmetry = P4/mmm, No. 123
ρ = 8.42 Mg/m³

---

Below is a geometry-optimized Ag2SnTe2 structure, with properties calculated at the PBE level.

The structure in POSCAR format:
```
Ag2SnTe2
1.0
8.634 0.000 0.000
0.000 8.634 0.000
0.000 0.000 3.490
Te Ag Sn
4 4 2
direct
0.321 0.821 0.000 Te
0.179 0.321 0.000 Te
0.821 0.679 0.000 Te
0.679 0.179 0.000 Te
0.379 0.121 0.500 Ag
0.121 0.621 0.500 Ag
0.621 0.879 0.500 Ag
0.879 0.379 0.500 Ag
0.000 0.000 0.000 Sn
0.500 0.500 0.000 Sn
```

## Properties
energy = -15.69 eV/f.u.
E_form (uncorrected) = 60 meV/atom
symmetry = P4/mbm, No. 127
energy relative to the lowest polymorph listed for this composition = 0.153 eV per atom
ρ = 7.53 Mg/m³

---

Below is a geometry-optimized Ce2SbP3Rh4 structure, with properties calculated at the PBE level.

The structure in POSCAR format:
```
Ce2SbP3Rh4
1.0
4.077 0.000 0.000
0.000 4.077 0.000
0.000 0.000 10.621
Rh P Ce Sb
4 3 2 1
direct
0.500 0.500 0.000 Rh
0.500 0.000 0.654 Rh
0.000 0.500 0.346 Rh
0.000 0.000 0.000 Rh
0.500 0.000 0.871 P
0.000 0.500 0.129 P
0.000 0.000 0.500 P
0.500 0.000 0.234 Ce
0.000 0.500 0.766 Ce
0.500 0.500 0.500 Sb
```

## Properties
energy = -71.17 eV/f.u.
E_form (uncorrected) = -955 meV/atom
symmetry = P-4m2, No. 115
ρ = 8.53 Mg/m³

---

Below is a geometry-optimized NaSb3Pd2 structure, with properties calculated at the PBE level.

The structure in POSCAR format:
```
NaSb3Pd2
1.0
4.761 0.000 0.000
0.000 8.607 0.000
0.000 -4.303 7.454
Pd Na Sb
4 2 6
direct
0.000 0.000 0.500 Pd
0.000 0.500 0.500 Pd
0.000 0.000 0.000 Pd
0.000 0.500 0.000 Pd
0.664 0.333 0.667 Na
0.336 0.667 0.333 Na
0.216 0.670 0.835 Sb
0.784 0.835 0.670 Sb
0.216 0.165 0.330 Sb
0.784 0.835 0.165 Sb
0.784 0.330 0.165 Sb
0.216 0.165 0.835 Sb
```

## Properties
energy = -25.60 eV/f.u.
E_form (uncorrected) = -254 meV/atom
symmetry = P-3m1, No. 164
ρ = 6.54 Mg/m³

---

Below is a geometry-optimized KMg3Cr structure, with properties calculated at the PBE level.

The structure in POSCAR format:
```
KMg3Cr
1.0
-2.838 4.274 -3.362
0.914 -3.363 -5.048
-5.360 -2.836 0.920
Cr Mg K
1 3 1
direct
0.500 0.500 0.500 Cr
0.500 0.000 0.000 Mg
0.000 0.000 0.500 Mg
0.000 0.500 0.000 Mg
0.000 0.000 0.000 K
```

## Properties
energy = -8.32 eV/f.u.
DFT formation energy = 1.44 eV/atom
symmetry = Pm-3m, No. 221
energy relative to the lowest polymorph listed for this composition = 0.943 eV per atom
ρ = 1.18 Mg/m³

---

Below is a geometry-optimized CsNaReI6 structure, with properties calculated at the PBE level.

The structure in POSCAR format:
```
CsNaReI6
1.0
-3.753 -4.286 -5.521
7.830 1.158 -0.522
2.629 -13.765 8.899
I Re Na Cs
12 2 2 2
direct
0.955 0.348 0.154 I
0.045 0.652 0.846 I
0.045 0.392 0.654 I
0.348 0.392 0.846 I
0.608 0.955 0.846 I
0.955 0.608 0.346 I
0.652 0.045 0.346 I
0.392 0.348 0.346 I
0.348 0.955 0.654 I
0.392 0.045 0.154 I
0.608 0.652 0.654 I
0.652 0.608 0.154 I
0.333 0.667 0.750 Re
0.667 0.333 0.250 Re
0.333 0.667 0.250 Na
0.667 0.333 0.750 Na
0.000 0.000 0.000 Cs
0.000 0.000 0.500 Cs
```

## Properties
energy = -29.02 eV/f.u.
E_form (uncorrected) = -567 meV/atom
symmetry = P-31c, No. 163
ρ = 4.05 Mg/m³

---

Below is a geometry-optimized ZrRe3Au structure, with properties calculated at the PBE level.

The structure in POSCAR format:
```
ZrRe3Au
1.0
-4.189 -2.208 -0.710
-0.587 -0.409 4.735
-2.244 4.229 0.087
Re Zr Au
3 1 1
direct
0.500 0.000 0.000 Re
0.000 0.500 0.000 Re
0.000 0.000 0.500 Re
0.500 0.500 0.500 Zr
0.000 0.000 0.000 Au
```

## Properties
energy = -37.04 eV/f.u.
DFT formation energy = 2.43 eV/atom
symmetry = Pm-3m, No. 221
energy relative to the lowest polymorph listed for this composition = 0.000 eV per atom
ρ = 12.81 Mg/m³

---

Below is a geometry-optimized ScPdRh structure, with properties calculated at the PBE level.

The structure in POSCAR format:
```
ScPdRh
1.0
-1.465 2.545 1.344
-0.468 -1.699 2.707
5.149 1.098 -0.347
Rh Sc Pd
1 1 1
direct
0.606 0.606 0.213 Rh
0.955 0.955 0.911 Sc
0.288 0.288 0.577 Pd
```

## Properties
energy = -20.81 eV/f.u.
DFT formation energy = -0.64 eV/atom
symmetry = I4mm, No. 107
energy relative to the lowest polymorph listed for this composition = 0.000 eV per atom
ρ = 8.51 Mg/m³